1.
Entry from Alexandria: a relaxed Sc4TlAu2 crystal (PBE).

a b c (Å): 8.3331 8.3331 8.3331
angles (deg): 33.56 33.56 33.56
Last column: nearest neighbours and their distance in Å.
Fractional coordinates of all 7 atoms:
Sc (0.1144, 0.1144, 0.1144)  3 Au 2.88, 3 Tl 3.04
Sc (0.3692, 0.3692, 0.3692)  4 Au 2.78-2.98, 1 Tl 3.08
Sc (0.6308, 0.6308, 0.6308)  4 Au 2.78-2.98, 1 Tl 3.08
Sc (0.8856, 0.8856, 0.8856)  3 Au 2.88, 3 Tl 3.04
Tl (0.5000, 0.5000, 0.5000)  8 Sc 3.04-3.08
Au (0.2513, 0.2513, 0.2513)  7 Sc 2.78-2.98
Au (0.7487, 0.7487, 0.7487)  7 Sc 2.78-2.98

## Properties
N(E_F) (states/eV per cell): 7.46
Formation energy (eV per formula unit): -3.25
E (eV for the cell shown): -37.5
E above lowest polymorph (meV/atom): 0

=====

2.
Entry from Alexandria: a relaxed Sc7TlAu4 crystal (PBE).

a b c (Å): 7.3170 7.3170 9.0018
angles (deg): 122.74 122.74 43.02
Last column: nearest neighbours and their distance in Å.
Fractional coordinates of all 12 atoms:
Sc (0.0000, 0.0000, 0.0000)  2 Tl 2.68, 4 Au 2.72-2.87
Sc (0.2238, 0.2238, 0.6731)  4 Au 2.68-2.91
Sc (0.2768, 0.2768, 0.1054)  2 Au 2.89-2.92, 3 Sc 3.12
Sc (0.4425, 0.4425, 0.6182)  3 Au 2.71-2.96
Sc (0.5575, 0.5575, 0.3818)  3 Au 2.71-2.96
Sc (0.7232, 0.7232, 0.8946)  2 Au 2.89-2.92, 3 Sc 3.12
Sc (0.7762, 0.7762, 0.3269)  4 Au 2.68-2.91
Tl (0.5000, 0.5000, 0.0000)  2 Sc 2.68
Au (0.0539, 0.0539, 0.7362)  5 Sc 2.68-2.96
Au (0.2030, 0.2030, 0.3480)  6 Sc 2.71-2.91
Au (0.7970, 0.7970, 0.6520)  6 Sc 2.71-2.91
Au (0.9461, 0.9461, 0.2638)  5 Sc 2.68-2.96

## Properties
N(E_F) (states/eV per cell): 14.35
Formation energy (eV per formula unit): -4.67
E (eV for the cell shown): -64.5

=====

3.
Entry from Alexandria: a relaxed Sc5TlAu crystal (PBE).

a b c (Å): 5.9073 5.9073 9.6382
angles (deg): 91.11 91.11 92.10
Last column: nearest neighbours and their distance in Å.
Fractional coordinates of all 14 atoms:
Sc (0.0306, 0.6212, 0.1664)  1 Au 2.79, 1 Tl 3.02, 1 Sc 3.09
Sc (0.1442, 0.8558, 0.7500)  2 Au 2.70, 1 Tl 2.99
Sc (0.2299, 0.4325, 0.4976)  1 Au 2.85, 1 Sc 2.86, 2 Tl 2.89-2.93
Sc (0.3788, 0.9694, 0.3336)  1 Au 2.79, 1 Tl 3.02, 1 Sc 3.09
Sc (0.4325, 0.2299, 0.9976)  1 Au 2.85, 1 Sc 2.86, 2 Tl 2.89-2.93
Sc (0.5675, 0.7701, 0.0024)  1 Au 2.85, 1 Sc 2.86, 2 Tl 2.89-2.93
Sc (0.6212, 0.0306, 0.6664)  1 Au 2.79, 1 Tl 3.02, 1 Sc 3.09
Sc (0.7701, 0.5675, 0.5024)  1 Au 2.85, 1 Sc 2.86, 2 Tl 2.89-2.93
Sc (0.8558, 0.1442, 0.2500)  2 Au 2.70, 1 Tl 2.99
Sc (0.9694, 0.3788, 0.8336)  1 Au 2.79, 1 Tl 3.02, 1 Sc 3.09
Tl (0.4956, 0.5044, 0.7500)  7 Sc 2.89-3.02
Tl (0.5044, 0.4956, 0.2500)  7 Sc 2.89-3.02
Au (0.0000, 0.0000, 0.0000)  6 Sc 2.70-2.85
Au (0.0000, 0.0000, 0.5000)  6 Sc 2.70-2.85

## Properties
N(E_F) (states/eV per cell): 19.22
Formation energy (eV per formula unit): -1.25
E (eV for the cell shown): -77.1

=====

4.
Entry from Alexandria: a relaxed YScTlAu crystal (PBE).

a b c (Å): 5.1078 5.1078 5.1078
angles (deg): 60.00 60.00 60.00
Last column: nearest neighbours and their distance in Å.
Fractional coordinates of all 4 atoms:
Y (0.0000, 0.0000, 0.0000)  4 Tl 3.13, 4 Au 3.13
Sc (0.5000, 0.5000, 0.5000)  4 Tl 3.13, 4 Au 3.13
Tl (0.7500, 0.7500, 0.7500)  4 Sc 3.13, 4 Y 3.13
Au (0.2500, 0.2500, 0.2500)  4 Sc 3.13, 4 Y 3.13

## Properties
N(E_F) (states/eV per cell): 3.10
Formation energy (eV per formula unit): -2.15
E (eV for the cell shown): -20.6
E above lowest polymorph (meV/atom): 46

=====

5.
Entry from Alexandria: a relaxed YScTlAu crystal (PBE).

a b c (Å): 3.5368 3.5368 7.4864
angles (deg): 90.00 90.00 90.00
Last column: nearest neighbours and their distance in Å.
Fractional coordinates of all 4 atoms:
Y (0.0000, 0.0000, 0.0000)  4 Au 3.16, 4 Tl 3.28, 1 Sc 3.44, 4 Y 3.54
Sc (0.0000, 0.0000, 0.5408)  4 Au 2.92, 4 Tl 3.15
Tl (0.5000, 0.5000, 0.2845)  4 Sc 3.15, 4 Y 3.28, 1 Au 3.42
Au (0.5000, 0.5000, 0.7410)  4 Sc 2.92, 4 Y 3.16

## Properties
N(E_F) (states/eV per cell): 2.49
Formation energy (eV per formula unit): -2.34
E (eV for the cell shown): -20.8
E above lowest polymorph (meV/atom): 0

=====

6.
Entry from Alexandria: a relaxed ScTlZn2Au crystal (PBE).

a b c (Å): 4.9104 4.9104 5.6333
angles (deg): 90.00 90.00 90.00
Last column: nearest neighbours and their distance in Å.
Fractional coordinates of all 5 atoms:
Sc (0.0000, 0.0000, 0.0000)  2 Tl 2.82
Tl (0.0000, 0.0000, 0.5000)  4 Zn 2.46
Zn (0.0000, 0.5000, 0.5000)  2 Tl 2.46
Zn (0.5000, 0.0000, 0.5000)  2 Tl 2.46
Au (0.5000, 0.5000, 0.0000)  4 Sc 3.47, 8 Zn 3.74

## Properties
N(E_F) (states/eV per cell): 4.64
Formation energy (eV per formula unit): 2.87
E (eV for the cell shown): -11.7